Record 1
## LaHfAg2Cl (PBE-GGA)

Data for LaHfAg2Cl after structural relaxation.

Unit cell a=5.619 b=5.619 c=5.830 alpha=90.00 beta=90.00 gamma=90.00
Fractional coordinates of all 5 atoms:
La1 0.000 0.000 0.000
Hf1 0.000 0.000 0.500
Ag1 0.000 0.500 0.000
Ag2 0.500 0.000 0.000
Cl1 0.500 0.500 0.500

Summary:
The calculation puts the total energy at -3.256 eV per atom. The value obtained for the formation energy without anion corrections is 1230 meV per atom. The energy above the most stable polymorph in this dataset comes out at 1261.7 meV per atom.

---

Record 2
## Sc2MnTc5B2 (PBE-GGA)

Data for Sc2MnTc5B2 after structural relaxation.

Unit cell a=9.331 b=9.331 c=3.091 alpha=90.00 beta=90.00 gamma=90.00
Fractional coordinates of all 20 atoms:
Sc1 0.174 0.326 0.000
Sc2 0.326 0.826 0.000
Sc3 0.674 0.174 0.000
Sc4 0.826 0.674 0.000
Mn1 0.000 0.000 0.000
Mn2 0.500 0.500 0.000
Tc1 0.000 0.500 0.500
Tc2 0.067 0.792 0.500
Tc3 0.208 0.067 0.500
Tc4 0.292 0.567 0.500
Tc5 0.433 0.292 0.500
Tc6 0.500 0.000 0.500
Tc7 0.567 0.708 0.500
Tc8 0.708 0.433 0.500
Tc9 0.792 0.933 0.500
Tc10 0.933 0.208 0.500
B1 0.126 0.626 0.000
B2 0.374 0.126 0.000
B3 0.626 0.874 0.000
B4 0.874 0.374 0.000

Summary:
The calculation puts the total energy at -8.961 eV per atom. The calculated formation energy is -0.259 eV per atom.

---

Record 3
## SrBTe2 (PBE-GGA)

Data for SrBTe2 after structural relaxation.

Unit cell a=7.793 b=7.793 c=7.793 alpha=39.30 beta=39.30 gamma=39.30
Fractional coordinates of all 4 atoms:
Sr1 0.000 0.000 0.000
B1 0.500 0.500 0.500
Te1 0.403 0.403 0.403
Te2 0.597 0.597 0.597

Summary:
The calculation puts the total energy at -3.720 eV per atom. The value obtained for the formation energy without anion corrections is -59 meV per atom.

---

Record 4
## Nd3TcAg (PBE-GGA)

Data for Nd3TcAg after structural relaxation.

Unit cell a=9.443 b=7.989 c=8.171 alpha=90.00 beta=110.39 gamma=90.00
Fractional coordinates of all 20 atoms:
Nd1 0.074 0.004 0.216
Nd2 0.074 0.496 0.716
Nd3 0.302 0.179 0.623
Nd4 0.302 0.321 0.123
Nd5 0.355 0.680 0.494
Nd6 0.355 0.820 0.994
Nd7 0.645 0.180 0.006
Nd8 0.645 0.320 0.506
Nd9 0.698 0.679 0.877
Nd10 0.698 0.821 0.377
Nd11 0.926 0.504 0.284
Nd12 0.926 0.996 0.784
Tc1 0.409 0.026 0.360
Tc2 0.409 0.474 0.860
Tc3 0.591 0.526 0.140
Tc4 0.591 0.974 0.640
Ag1 0.068 0.667 0.042
Ag2 0.068 0.833 0.542
Ag3 0.932 0.167 0.458
Ag4 0.932 0.333 0.958

Summary:
The calculation puts the total energy at -5.486 eV per atom. The calculated formation energy is 0.018 eV per atom.

---

Record 5
## HoTmCu (PBE-GGA)

Data for HoTmCu after structural relaxation.

Unit cell a=6.486 b=6.486 c=7.985 alpha=125.08 beta=125.08 gamma=32.80
Fractional coordinates of all 6 atoms:
Ho1 0.099 0.099 0.385
Ho2 0.901 0.901 0.615
Tm1 0.343 0.343 0.937
Tm2 0.657 0.657 0.063
Cu1 0.377 0.377 0.323
Cu2 0.623 0.623 0.677

Summary:
The calculation puts the total energy at -4.545 eV per atom. The calculated formation energy is -0.164 eV per atom. The energy above the most stable polymorph in this dataset comes out at 18.1 meV per atom.

---

Record 6
## Tb4Sm2Dy3 (PBE-GGA)

Data for Tb4Sm2Dy3 after structural relaxation.

Unit cell a=9.995 b=9.995 c=6.144 alpha=94.87 beta=94.87 gamma=71.08
Fractional coordinates of all 18 atoms:
Tb1 0.095 0.813 0.985
Tb2 0.146 0.425 0.152
Tb3 0.187 0.905 0.515
Tb4 0.425 0.146 0.652
Tb5 0.575 0.854 0.348
Tb6 0.813 0.095 0.485
Tb7 0.854 0.575 0.848
Tb8 0.905 0.187 0.015
Sm1 0.236 0.521 0.679
Sm2 0.479 0.764 0.821
Sm3 0.521 0.236 0.179
Sm4 0.764 0.479 0.321
Dy1 0.068 0.263 0.590
Dy2 0.263 0.068 0.090
Dy3 0.403 0.597 0.250
Dy4 0.597 0.403 0.750
Dy5 0.737 0.932 0.910
Dy6 0.932 0.737 0.410

Summary:
The calculation puts the total energy at -4.548 eV per atom. The calculated formation energy is 0.093 eV per atom.